First-principles (PBE-GGA) data for crystalline La5Er6Sc at its relaxed geometry, as listed in Alexandria.

a = 6.1333 Å, b = 7.2609 Å, c = 9.5219 Å
α = 67.56°, β = 88.27°, γ = 89.97°
With the nearest neighbours (Å) after each atom.
Fractional coordinates of all 12 atoms:
La1 0.6749 0.1636 0.6728  8 Er 3.52-3.65, 1 Sc 3.55, 3 La 3.63-3.68
Sc1 0.0000 0.0000 0.0000  8 Er 3.53-3.55, 4 La 3.55-3.63
La2 0.6649 0.6676 0.6644  8 Er 3.55-3.60, 4 La 3.63-3.68
Er1 0.1690 0.4116 0.6721  7 La 3.52-3.65, 1 Sc 3.53, 4 Er 3.58-3.73
Er2 0.4998 0.7540 0.0000  6 La 3.53-3.60, 2 Sc 3.55, 4 Er 3.57-3.69
La3 0.3351 0.3324 0.3356  8 Er 3.55-3.60, 4 La 3.63-3.68
La4 0.3251 0.8364 0.3272  8 Er 3.52-3.65, 1 Sc 3.55, 3 La 3.63-3.68
Er3 0.8308 0.0838 0.3279  7 La 3.52-3.65, 1 Sc 3.53, 4 Er 3.58-3.73
Er4 0.5002 0.2460 0.0000  6 La 3.53-3.60, 2 Sc 3.55, 4 Er 3.57-3.69
Er5 0.1692 0.9162 0.6721  7 La 3.52-3.65, 1 Sc 3.53, 4 Er 3.58-3.73
La5 0.0000 0.5000 0.0000  8 Er 3.54-3.58, 2 Sc 3.63, 2 La 3.65
Er6 0.8310 0.5884 0.3279  7 La 3.52-3.65, 1 Sc 3.53, 4 Er 3.58-3.73

Its space group is C2/m, No. 12. The formation energy from the elements comes out at 0.044 eV per atom. For the total moment, the calculation gives 0.00 μB/cell.

---

First-principles (PBE-GGA) data for crystalline LaEr2Sc3 at its relaxed geometry, as listed in Alexandria.

a = 9.0968 Å, b = 9.0968 Å, c = 11.0622 Å
α = 90.00°, β = 90.00°, γ = 158.09°
With the nearest neighbours (Å) after each atom.
Fractional coordinates of all 12 atoms:
Er1 0.0000 0.0000 0.5000  6 Sc 3.37-3.43, 6 Er 3.40-3.46
La1 0.7786 0.2214 0.2500  8 Sc 3.34-3.51, 2 La 3.46, 2 Er 3.46
Er2 0.5534 0.4466 0.7500  4 Sc 3.36-3.50, 6 Er 3.40-3.46, 2 La 3.46
Sc1 0.1079 0.8921 0.2500  6 Sc 3.34-3.46, 4 Er 3.36-3.37, 2 La 3.51
Er3 0.0000 0.0000 0.0000  6 Sc 3.37-3.43, 6 Er 3.40-3.46
Sc2 0.8921 0.1079 0.7500  6 Sc 3.34-3.46, 4 Er 3.36-3.37, 2 La 3.51
Sc3 0.3346 0.6654 0.5095  6 Sc 3.34-3.49, 3 La 3.34-3.50, 3 Er 3.43-3.50
Er4 0.4466 0.5534 0.2500  4 Sc 3.36-3.50, 6 Er 3.40-3.46, 2 La 3.46
Sc4 0.6654 0.3346 0.0095  6 Sc 3.34-3.49, 3 La 3.34-3.50, 3 Er 3.43-3.50
La2 0.2214 0.7786 0.7500  8 Sc 3.34-3.51, 2 La 3.46, 2 Er 3.46
Sc5 0.6654 0.3346 0.4905  6 Sc 3.34-3.49, 3 La 3.34-3.50, 3 Er 3.43-3.50
Sc6 0.3346 0.6654 0.9905  6 Sc 3.34-3.49, 3 La 3.34-3.50, 3 Er 3.43-3.50

Its space group is Cmcm, No. 63. The formation energy from the elements comes out at 0.065 eV per atom. For the total moment, the calculation gives 0.00 μB/cell.

---

First-principles (PBE-GGA) data for crystalline LaErSc at its relaxed geometry, as listed in Alexandria.

a = 3.3667 Å, b = 5.5663 Å, c = 5.5663 Å
α = 120.00°, β = 90.00°, γ = 90.00°
With the nearest neighbours (Å) after each atom.
Fractional coordinates of all 3 atoms:
La1 0.1661 0.0000 0.0000  3 Er 3.21, 2 La 3.37
Er1 0.1674 0.3333 0.6667  3 La 3.21, 2 Er 3.37
Sc1 0.6665 0.6667 0.3333  2 Sc 3.37, 6 Er 3.63, 6 La 3.63

Its space group is P-6m2, No. 187. The formation energy from the elements comes out at 0.128 eV per atom. For the total moment, the calculation gives 0.00 μB/cell.

---

First-principles (PBE-GGA) data for crystalline LaEr2Sc at its relaxed geometry, as listed in Alexandria.

a = 3.5043 Å, b = 3.5043 Å, c = 9.9977 Å
α = 90.00°, β = 90.00°, γ = 90.00°
With the nearest neighbours (Å) after each atom.
Fractional coordinates of all 4 atoms:
Sc1 0.5000 0.5000 0.0000  8 Er 3.37, 4 Sc 3.50
Er1 0.0000 0.0000 0.2290  4 Sc 3.37, 4 Er 3.50, 4 La 3.67
Er2 0.0000 0.0000 0.7710  4 Sc 3.37, 4 Er 3.50, 4 La 3.67
La1 0.5000 0.5000 0.5000  4 La 3.50, 8 Er 3.67

Its space group is P4/mmm, No. 123. The formation energy from the elements comes out at 0.059 eV per atom. For the total moment, the calculation gives 0.00 μB/cell.

---

First-principles (PBE-GGA) data for crystalline La2Er5Sc at its relaxed geometry, as listed in Alexandria.

a = 5.0196 Å, b = 5.0196 Å, c = 10.5860 Å
α = 103.71°, β = 103.71°, γ = 90.00°
With the nearest neighbours (Å) after each atom.
Fractional coordinates of all 8 atoms:
Sc1 0.0000 0.0000 0.0000  12 Er 3.45-3.55
Er1 0.3816 0.8816 0.7632  6 Er 3.45-3.55, 2 Sc 3.45, 4 La 3.62-3.64
La1 0.7507 0.7507 0.5014  4 La 3.55, 8 Er 3.62-3.64
La2 0.2493 0.2493 0.4986  4 La 3.55, 8 Er 3.62-3.64
Er2 0.1184 0.6184 0.2368  2 Sc 3.45, 6 Er 3.45-3.55, 4 La 3.62-3.64
Er3 0.8816 0.3816 0.7632  6 Er 3.45-3.55, 2 Sc 3.45, 4 La 3.62-3.64
Er4 0.6184 0.1184 0.2368  6 Er 3.45-3.55, 2 Sc 3.45, 4 La 3.62-3.64
Er5 0.5000 0.5000 0.0000  8 Er 3.45, 4 Sc 3.55

Its space group is I4/mmm, No. 139. The formation energy from the elements comes out at 0.052 eV per atom. For the total moment, the calculation gives 0.00 μB/cell.

---

First-principles (PBE-GGA) data for crystalline La11Er9Sc4 at its relaxed geometry, as listed in Alexandria.

a = 3.6310 Å, b = 15.3628 Å, c = 15.3628 Å
α = 112.98°, β = 90.00°, γ = 90.00°
With the nearest neighbours (Å) after each atom.
Fractional coordinates of all 24 atoms:
Er1 0.5000 0.6292 0.1678  1 Sc 3.42, 3 Er 3.44-3.63, 8 La 3.59-3.77
Er2 0.5000 0.0743 0.2170  1 Sc 3.44, 8 La 3.57-3.81, 3 Er 3.63-3.65
Er3 0.5000 0.5000 0.5000  2 Er 3.63, 4 Sc 3.74, 8 La 3.78-3.86
Sc1 0.5000 0.7596 0.5546  6 La 3.28-3.36, 2 Er 3.42-3.44, 2 Sc 3.63
La1 0.0000 0.4048 0.0444  2 Sc 3.36, 6 Er 3.59-3.70, 3 La 3.63-3.68
Sc2 0.5000 0.2404 0.4454  6 La 3.28-3.36, 2 Er 3.42-3.44, 2 Sc 3.63
Er4 0.5000 0.9257 0.7830  1 Sc 3.44, 8 La 3.57-3.81, 3 Er 3.63-3.65
La2 0.0000 0.1594 0.8406  4 La 3.63-3.85, 8 Er 3.77-3.81
La3 0.0000 0.9556 0.5952  2 Sc 3.36, 6 Er 3.59-3.70, 3 La 3.63-3.68
La4 0.0000 0.5952 0.9556  2 Sc 3.36, 6 Er 3.59-3.70, 3 La 3.63-3.68
Sc3 0.5000 0.5546 0.7596  6 La 3.28-3.36, 2 Er 3.42-3.44, 2 Sc 3.63
Er5 0.5000 0.1678 0.6292  1 Sc 3.42, 3 Er 3.44-3.63, 8 La 3.59-3.77
Er6 0.5000 0.3708 0.8322  1 Sc 3.42, 3 Er 3.44-3.63, 8 La 3.59-3.77
Er7 0.5000 0.8322 0.3708  1 Sc 3.42, 3 Er 3.44-3.63, 8 La 3.59-3.77
La5 0.0000 0.8406 0.1594  4 La 3.63-3.85, 8 Er 3.77-3.81
La6 0.0000 0.7010 0.7010  4 Sc 3.28, 2 La 3.63, 4 Er 3.66
Sc4 0.5000 0.4454 0.2404  6 La 3.28-3.36, 2 Er 3.42-3.44, 2 Sc 3.63
Er8 0.5000 0.2170 0.0743  1 Sc 3.44, 8 La 3.57-3.81, 3 Er 3.63-3.65
La7 0.0000 0.2990 0.2990  4 Sc 3.28, 2 La 3.63, 4 Er 3.66
La8 0.0000 0.0000 0.0000  8 Er 3.57, 2 La 3.63
La9 0.0000 0.0444 0.4048  2 Sc 3.36, 6 Er 3.59-3.70, 3 La 3.63-3.68
La10 0.0000 0.3704 0.6296  4 Sc 3.30, 4 Er 3.60, 2 La 3.63
La11 0.0000 0.6296 0.3704  4 Sc 3.30, 4 Er 3.60, 2 La 3.63
Er9 0.5000 0.7830 0.9257  1 Sc 3.44, 8 La 3.57-3.81, 3 Er 3.63-3.65

Its space group is Cmmm, No. 65. The formation energy from the elements comes out at 0.070 eV per atom. For the total moment, the calculation gives 0.00 μB/cell.

---

First-principles (PBE-GGA) data for crystalline LaEr2Sc2 at its relaxed geometry, as listed in Alexandria.

a = 5.2617 Å, b = 3.6421 Å, c = 10.3316 Å
α = 69.33°, β = 59.47°, γ = 90.00°
With the nearest neighbours (Å) after each atom.
Fractional coordinates of all 5 atoms:
La1 0.0000 0.0000 0.0000  8 Er 3.57, 2 La 3.64
Er1 0.6944 0.6942 0.8049  2 Sc 3.07, 1 Er 3.17
Er2 0.3056 0.3058 0.1951  2 Sc 3.07, 1 Er 3.17
Sc1 0.5000 0.0000 0.5000  4 Sc 3.20
Sc2 0.0000 0.5000 0.5000  4 Er 3.07, 4 Sc 3.20

Its space group is P2/m, No. 10. The formation energy from the elements comes out at 0.264 eV per atom. For the total moment, the calculation gives 0.00 μB/cell.

---

First-principles (PBE-GGA) data for crystalline La3Er2Sc at its relaxed geometry, as listed in Alexandria.

a = 6.2428 Å, b = 9.4207 Å, c = 10.8117 Å
α = 129.53°, β = 125.35°, γ = 77.08°
With the nearest neighbours (Å) after each atom.
Fractional coordinates of all 12 atoms:
La1 0.6272 0.6272 0.2532  5 Er 3.48-3.63, 6 La 3.56-3.66, 1 Sc 3.60
La2 0.9630 0.6388 0.9226  2 Sc 3.39-3.52, 4 Er 3.54-3.68, 6 La 3.60-3.74
Sc1 0.8794 0.8821 0.7565  6 La 3.39-3.64, 5 Er 3.50-3.61, 1 Sc 3.52
La3 0.0370 0.3612 0.0774  2 Sc 3.39-3.52, 4 Er 3.54-3.68, 6 La 3.60-3.74
La4 0.3728 0.3728 0.7468  5 Er 3.48-3.63, 6 La 3.56-3.66, 1 Sc 3.60
Sc2 0.1206 0.1179 0.2435  6 La 3.39-3.64, 5 Er 3.50-3.61, 1 Sc 3.52
Er1 0.7876 0.1187 0.5800  6 La 3.48-3.68, 4 Er 3.52-3.63, 2 Sc 3.54-3.61
Er2 0.5405 0.8859 0.0894  6 La 3.47-3.63, 3 Er 3.50-3.63, 3 Sc 3.50-3.56
La5 0.7109 0.3765 0.4173  3 Er 3.47-3.63, 6 La 3.55-3.61, 3 Sc 3.58-3.64
La6 0.2891 0.6235 0.5827  3 Er 3.47-3.63, 6 La 3.55-3.61, 3 Sc 3.58-3.64
Er3 0.2124 0.8813 0.4200  6 La 3.48-3.68, 4 Er 3.52-3.63, 2 Sc 3.54-3.61
Er4 0.4595 0.1141 0.9106  6 La 3.47-3.63, 3 Er 3.50-3.63, 3 Sc 3.50-3.56

Its space group is P-1, No. 2. The formation energy from the elements comes out at 0.051 eV per atom. For the total moment, the calculation gives 0.00 μB/cell.

---

First-principles (PBE-GGA) data for crystalline La12Er3Sc at its relaxed geometry, as listed in Alexandria.

a = 5.1702 Å, b = 5.1702 Å, c = 20.6969 Å
α = 90.00°, β = 90.00°, γ = 90.00°
With the nearest neighbours (Å) after each atom.
Fractional coordinates of all 16 atoms:
La1 0.5000 0.0000 0.6261  8 La 3.66-3.67, 4 Er 3.67
La2 0.5000 0.0000 0.3739  8 La 3.66-3.67, 4 Er 3.67
La3 0.0000 0.5000 0.1223  2 Sc 3.62, 8 La 3.62-3.67, 2 Er 3.67
Er1 0.0000 0.0000 0.2480  12 La 3.66-3.67
La4 0.5000 0.5000 0.0000  8 La 3.62, 4 Sc 3.66
La5 0.5000 0.0000 0.1223  8 La 3.62-3.67, 2 Sc 3.62, 2 Er 3.67
La6 0.0000 0.5000 0.3739  8 La 3.66-3.67, 4 Er 3.67
La7 0.0000 0.5000 0.8777  8 La 3.62-3.67, 2 Sc 3.62, 2 Er 3.67
La8 0.5000 0.5000 0.7516  4 Er 3.66, 8 La 3.67
Sc1 0.0000 0.0000 0.0000  12 La 3.62-3.66
La9 0.0000 0.5000 0.6261  8 La 3.66-3.67, 4 Er 3.67
Er2 0.0000 0.0000 0.5000  12 La 3.66-3.67
La10 0.5000 0.5000 0.5000  4 Er 3.66, 8 La 3.67
La11 0.5000 0.5000 0.2484  4 Er 3.66, 8 La 3.67
La12 0.5000 0.0000 0.8777  8 La 3.62-3.67, 2 Sc 3.62, 2 Er 3.67
Er3 0.0000 0.0000 0.7520  12 La 3.66-3.67

Its space group is P4/mmm, No. 123. The formation energy from the elements comes out at 0.015 eV per atom. For the total moment, the calculation gives 0.00 μB/cell.

---

First-principles (PBE-GGA) data for crystalline LaErSc3 at its relaxed geometry, as listed in Alexandria.

a = 6.6426 Å, b = 8.5365 Å, c = 6.2900 Å
α = 105.35°, β = 121.87°, γ = 90.00°
With the nearest neighbours (Å) after each atom.
Fractional coordinates of all 10 atoms:
Er1 0.7924 0.9974 0.5847  4 Sc 3.19-3.54, 2 Er 3.45
Sc1 0.5942 0.3852 0.6932  7 Sc 3.17-3.35, 2 La 3.39-3.43, 1 Er 3.54
La1 0.4407 0.7784 0.8815  8 Sc 3.36-3.59, 2 Er 3.58-3.64, 1 La 3.60
Er2 0.2076 0.0026 0.4153  4 Sc 3.19-3.54, 2 Er 3.45
La2 0.5593 0.2216 0.1185  8 Sc 3.36-3.59, 2 Er 3.58-3.64, 1 La 3.60
Sc2 0.4058 0.6148 0.3068  7 Sc 3.17-3.35, 2 La 3.39-3.43, 1 Er 3.54
Sc3 0.0687 0.2833 0.1374  6 Sc 3.17-3.27, 2 Er 3.19, 2 La 3.36
Sc4 0.9010 0.6148 0.3068  7 Sc 3.17-3.35, 2 La 3.39-3.43, 1 Er 3.54
Sc5 0.0990 0.3852 0.6932  7 Sc 3.17-3.35, 2 La 3.39-3.43, 1 Er 3.54
Sc6 0.9313 0.7167 0.8626  6 Sc 3.17-3.27, 2 Er 3.19, 2 La 3.36

Its space group is C2/m, No. 12. The formation energy from the elements comes out at 0.141 eV per atom. For the total moment, the calculation gives 0.01 μB/cell.

---

First-principles (PBE-GGA) data for crystalline LaErSc at its relaxed geometry, as listed in Alexandria.

a = 4.9007 Å, b = 3.4668 Å, c = 10.8699 Å
α = 99.24°, β = 90.00°, γ = 90.00°
With the nearest neighbours (Å) after each atom.
Fractional coordinates of all 6 atoms:
Sc1 0.3468 0.2064 0.8343  5 Er 3.27-3.40, 6 Sc 3.43-3.47, 1 La 3.48
Er1 0.3469 0.3582 0.1387  5 Sc 3.27-3.40, 2 Er 3.47, 4 La 3.54
La1 0.3469 0.0437 0.5100  4 La 3.23-3.47, 1 Sc 3.48, 4 Er 3.54
Er2 0.8469 0.6318 0.6849  5 Sc 3.27-3.40, 2 Er 3.47, 4 La 3.54
La2 0.8468 0.9462 0.3134  4 La 3.23-3.47, 1 Sc 3.48, 4 Er 3.54
Sc2 0.8470 0.7833 0.9893  5 Er 3.27-3.40, 6 Sc 3.43-3.47, 1 La 3.48

Its space group is P2_1/m, No. 11. The formation energy from the elements comes out at 0.107 eV per atom. For the total moment, the calculation gives 0.00 μB/cell.

---

First-principles (PBE-GGA) data for crystalline LaEr2Sc at its relaxed geometry, as listed in Alexandria.

a = 3.6080 Å, b = 6.6261 Å, c = 6.6262 Å
α = 54.58°, β = 74.23°, γ = 74.23°
With the nearest neighbours (Å) after each atom.
Fractional coordinates of all 4 atoms:
La1 0.2500 0.1822 0.3178  6 Er 3.47-3.53, 4 Sc 3.47-3.59, 2 La 3.61
Er1 0.0096 0.0640 0.9168  3 Sc 3.37-3.59, 3 La 3.47-3.53, 6 Er 3.54-3.61
Sc1 0.7500 0.6706 0.8294  6 Er 3.37-3.59, 4 La 3.47-3.59, 2 Sc 3.61
Er2 0.4904 0.5832 0.4360  3 Sc 3.37-3.59, 3 La 3.47-3.53, 6 Er 3.54-3.61

Its space group is Imm2, No. 44. The formation energy from the elements comes out at 0.038 eV per atom. For the total moment, the calculation gives 0.00 μB/cell.

---

Quick rundown of final energy, same order as above: -4.818; -5.443; -5.146; -5.037; -4.823; -4.955; -5.079; -4.989; -4.932; -5.556; -5.167; -5.058 eV per atom